Computed, not measured: a geometry-optimized HfIn2N structure at the PBE level of DFT.

DFT total energy in eV/cell: -45.9
SG: P6_3/mmc (194)

abc: 3.247 3.247 15.778
angles: 90.00 90.00 120.00
Sites, in units of the cell vectors:
Hf  0.333  0.667  0.250
Hf  0.667  0.333  0.750
In  0.333  0.667  0.589
In  0.333  0.667  0.911
In  0.667  0.333  0.089
In  0.667  0.333  0.411
N  0.000  0.000  0.000
N  0.000  0.000  0.500



Computed, not measured: a geometry-optimized CsTlCu2F6 structure at the PBE level of DFT.

DFT total energy in eV/cell: -32.8
SG: Fm-3m (225)

abc: 6.661 6.661 6.661
angles: 60.00 60.00 60.00
Sites, in units of the cell vectors:
Cs  0.000  0.000  0.000
Tl  0.500  0.500  0.500
Cu  0.250  0.250  0.250
Cu  0.750  0.750  0.750
F  0.274  0.274  0.726
F  0.274  0.726  0.274
F  0.274  0.726  0.726
F  0.726  0.274  0.274
F  0.726  0.274  0.726
F  0.726  0.726  0.274



Computed, not measured: a geometry-optimized BeZnGaNi structure at the PBE level of DFT.

SG: F-43m (216)
Relative energy among the computed polymorphs in meV per atom: 0

abc: 5.740 5.740 5.740
angles: 90.00 90.00 90.00
Sites, in units of the cell vectors:
Be  0.000  0.000  0.000
Be  0.000  0.500  0.500
Be  0.500  0.000  0.500
Be  0.500  0.500  0.000
Zn  0.250  0.250  0.750
Zn  0.250  0.750  0.250
Zn  0.750  0.250  0.250
Zn  0.750  0.750  0.750
Ga  0.250  0.250  0.250
Ga  0.250  0.750  0.750
Ga  0.750  0.250  0.750
Ga  0.750  0.750  0.250
Ni  0.000  0.000  0.500
Ni  0.000  0.500  0.000
Ni  0.500  0.000  0.000
Ni  0.500  0.500  0.500



Computed, not measured: a geometry-optimized YCuSiPd structure at the PBE level of DFT.

SG: F-43m (216)
Relative energy among the computed polymorphs in meV per atom: 138

abc: 6.535 6.535 6.535
angles: 90.00 90.00 90.00
Sites, in units of the cell vectors:
Y  0.000  0.000  0.000
Y  0.000  0.500  0.500
Y  0.500  0.000  0.500
Y  0.500  0.500  0.000
Cu  0.000  0.000  0.500
Cu  0.000  0.500  0.000
Cu  0.500  0.000  0.000
Cu  0.500  0.500  0.500
Si  0.250  0.250  0.250
Si  0.250  0.750  0.750
Si  0.750  0.250  0.750
Si  0.750  0.750  0.250
Pd  0.250  0.250  0.750
Pd  0.250  0.750  0.250
Pd  0.750  0.250  0.250
Pd  0.750  0.750  0.750



Computed, not measured: a geometry-optimized TmAgTeO structure at the PBE level of DFT.

DFT total energy in eV/cell: -42.4
SG: Pmc2_1 (26)

abc: 4.418 6.717 6.694
angles: 90.00 90.00 90.00
Sites, in units of the cell vectors:
Tm  0.000  0.130  0.000
Tm  0.000  0.870  0.500
Ag  0.500  0.256  0.616
Ag  0.500  0.744  0.116
Te  0.500  0.335  0.208
Te  0.500  0.665  0.708
O  0.000  0.113  0.690
O  0.000  0.887  0.190



Computed, not measured: a geometry-optimized BeCo2Pb structure at the PBE level of DFT.

SG: F-43m (216)
Relative energy among the computed polymorphs in meV per atom: 0

abc: 5.986 5.986 5.986
angles: 90.00 90.00 90.00
Sites, in units of the cell vectors:
Be  0.000  0.000  0.000
Be  0.000  0.500  0.500
Be  0.500  0.000  0.500
Be  0.500  0.500  0.000
Co  0.000  0.000  0.500
Co  0.000  0.500  0.000
Co  0.250  0.250  0.250
Co  0.250  0.750  0.750
Co  0.500  0.000  0.000
Co  0.500  0.500  0.500
Co  0.750  0.250  0.750
Co  0.750  0.750  0.250
Pb  0.250  0.250  0.750
Pb  0.250  0.750  0.250
Pb  0.750  0.250  0.250
Pb  0.750  0.750  0.750